[1]
A geometry-optimized NaSrGa structure, computed with GGA-PBE.

a = 5.419 Å, b = 5.419 Å, c = 8.228 Å
α = 107.34°, β = 107.34°, γ = 69.46°
Fractional coordinates of all 6 atoms:
Na: 0.000 0.500 0.000
Na: 0.500 0.000 0.000
Sr: 0.131 0.131 0.360
Sr: 0.869 0.869 0.640
Ga: 0.486 0.486 0.340
Ga: 0.514 0.514 0.660

Summary:
The energy above the most stable polymorph in this dataset comes out at 183.8 meV per atom. The formation enthalpy at 0 K is -69.4 meV/atom.

=====

[2]
A geometry-optimized ThTl2Ir3O12 structure, computed with GGA-PBE.

a = 6.713 Å, b = 6.713 Å, c = 6.713 Å
α = 67.07°, β = 67.07°, γ = 67.07°
Fractional coordinates of all 18 atoms:
Th: 0.000 0.000 0.000
Tl: 0.388 0.388 0.388
Tl: 0.612 0.612 0.612
Ir: 0.000 0.000 0.500
Ir: 0.000 0.500 0.000
Ir: 0.500 0.000 0.000
O: 0.112 0.726 0.726
O: 0.138 0.138 0.591
O: 0.138 0.591 0.138
O: 0.274 0.274 0.888
O: 0.274 0.888 0.274
O: 0.409 0.862 0.862
O: 0.591 0.138 0.138
O: 0.726 0.112 0.726
O: 0.726 0.726 0.112
O: 0.862 0.409 0.862
O: 0.862 0.862 0.409
O: 0.888 0.274 0.274

Summary:
Its uncorrected formation energy is -1.081 eV per atom.

=====

[3]
A geometry-optimized Ba3Au structure, computed with GGA-PBE.

a = 6.526 Å, b = 6.526 Å, c = 6.526 Å
α = 90.00°, β = 90.00°, γ = 90.00°
Fractional coordinates of all 4 atoms:
Ba: 0.000 0.000 0.500
Ba: 0.000 0.500 0.000
Ba: 0.500 0.000 0.000
Au: 0.000 0.000 0.000

Summary:
The formation enthalpy at 0 K is -198.8 meV/atom.

=====

[4]
A geometry-optimized Sr3Ac3TmS8 structure, computed with GGA-PBE.

a = 8.536 Å, b = 8.536 Å, c = 8.536 Å
α = 59.69°, β = 59.69°, γ = 59.69°
Fractional coordinates of all 15 atoms:
Sr: 0.000 0.500 0.500
Sr: 0.500 0.000 0.500
Sr: 0.500 0.500 0.000
Ac: 0.000 0.000 0.500
Ac: 0.000 0.500 0.000
Ac: 0.500 0.000 0.000
Tm: 0.500 0.500 0.500
S: 0.252 0.252 0.252
S: 0.270 0.729 0.729
S: 0.271 0.271 0.730
S: 0.271 0.730 0.271
S: 0.729 0.270 0.729
S: 0.729 0.729 0.270
S: 0.730 0.271 0.271
S: 0.748 0.748 0.748

Summary:
Its uncorrected formation energy is -2.081 eV per atom.

=====

[5]
A geometry-optimized K3Na12Tl structure, computed with GGA-PBE.

a = 5.756 Å, b = 5.756 Å, c = 19.817 Å
α = 90.00°, β = 90.00°, γ = 90.00°
Fractional coordinates of all 16 atoms:
K: 0.000 0.000 0.000
K: 0.000 0.000 0.276
K: 0.000 0.000 0.724
Na: 0.000 0.500 0.138
Na: 0.000 0.500 0.406
Na: 0.000 0.500 0.594
Na: 0.000 0.500 0.862
Na: 0.500 0.000 0.138
Na: 0.500 0.000 0.406
Na: 0.500 0.000 0.594
Na: 0.500 0.000 0.862
Na: 0.500 0.500 0.000
Na: 0.500 0.500 0.267
Na: 0.500 0.500 0.500
Na: 0.500 0.500 0.733
Tl: 0.000 0.000 0.500

Summary:
The formation enthalpy at 0 K is 3.7 meV/atom.

=====

[6]
A geometry-optimized PrMgH4 structure, computed with GGA-PBE.

a = 3.608 Å, b = 3.608 Å, c = 5.298 Å
α = 90.05°, β = 90.05°, γ = 90.00°
Fractional coordinates of all 6 atoms:
Pr: 0.000 0.000 0.000
Mg: 0.500 0.500 0.500
H: 0.000 0.500 0.280
H: 0.000 0.500 0.720
H: 0.500 0.000 0.280
H: 0.500 0.000 0.720

Summary:
As for the total energy: -3.654 eV/atom.

=====

[7]
A geometry-optimized Tb6Sm5Pu structure, computed with GGA-PBE.

a = 6.204 Å, b = 6.204 Å, c = 11.799 Å
α = 95.06°, β = 95.06°, γ = 120.06°
Fractional coordinates of all 12 atoms:
Tb: 0.082 0.411 0.747
Tb: 0.247 0.247 0.253
Tb: 0.411 0.082 0.747
Tb: 0.589 0.918 0.253
Tb: 0.753 0.753 0.747
Tb: 0.918 0.589 0.253
Sm: 0.167 0.833 0.000
Sm: 0.333 0.667 0.500
Sm: 0.500 0.500 0.000
Sm: 0.667 0.333 0.500
Sm: 0.833 0.167 0.000
Pu: 0.000 0.000 0.500

Summary:
The formation enthalpy at 0 K is 44.5 meV/atom.

=====

[8]
A geometry-optimized PmAs2Pd4 structure, computed with GGA-PBE.

a = 7.800 Å, b = 7.800 Å, c = 4.091 Å
α = 90.00°, β = 90.00°, γ = 90.00°
Fractional coordinates of all 14 atoms:
Pm: 0.000 0.000 0.000
Pm: 0.500 0.500 0.500
As: 0.220 0.220 0.500
As: 0.280 0.720 0.000
As: 0.720 0.280 0.000
As: 0.780 0.780 0.500
Pd: 0.089 0.660 0.500
Pd: 0.160 0.411 0.000
Pd: 0.340 0.911 0.500
Pd: 0.411 0.160 0.000
Pd: 0.589 0.840 0.000
Pd: 0.660 0.089 0.500
Pd: 0.840 0.589 0.000
Pd: 0.911 0.340 0.500

Summary:
The formation enthalpy at 0 K is -752.4 meV/atom.

=====

Magnetic moment in μB/f.u., matching the order above: 0.0 0.0 0.0 0.0 0.0 0.0 6.5 0.0